DFT (GGA-PBE) results for a geometry-optimized CsPaCoN3 structure.

* crystal system: monoclinic

a b c (Å): 8.397 3.563 8.521
angles (deg): 90.00 110.05 90.00
Space group P2_1/m (No. 11)
Inequivalent atoms, fractional coordinates:
Cs1 0.201 0.250 0.231 (multiplicity 2)
Pa1 0.338 0.750 0.843 (multiplicity 2)
Co1 0.068 0.250 0.596 (multiplicity 2)
N1 0.141 0.750 0.565 (multiplicity 2)
N2 0.165 0.250 0.830 (multiplicity 2)
N3 0.483 0.750 0.124 (multiplicity 2)

=====

DFT (GGA-PBE) results for a geometry-optimized CsCoS2N structure.

* crystal system: tetragonal

a b c (Å): 5.687 5.687 4.700
angles (deg): 90.00 90.00 90.00
Space group P4/mmm (No. 123)
Inequivalent atoms, fractional coordinates:
Cs1 0.000 0.000 0.000 (multiplicity 1)
Co1 0.500 0.500 0.500 (multiplicity 1)
S1 0.000 0.500 0.000 (multiplicity 2)
N1 0.000 0.000 0.500 (multiplicity 1)

=====

DFT (GGA-PBE) results for a geometry-optimized CsCoSeN2 structure.

* crystal system: tetragonal

a b c (Å): 4.087 4.087 5.064
angles (deg): 90.00 90.00 90.00
Space group P4/mmm (No. 123)
Inequivalent atoms, fractional coordinates:
Cs1 0.000 0.000 0.000 (multiplicity 1)
Co1 0.500 0.500 0.500 (multiplicity 1)
Se1 0.500 0.500 0.000 (multiplicity 1)
N1 0.000 0.500 0.500 (multiplicity 2)

=====

DFT (GGA-PBE) results for a geometry-optimized CsCoSeN2 structure.

* crystal system: tetragonal

a b c (Å): 4.332 4.332 7.195
angles (deg): 90.00 90.00 90.00
Space group P4/mmm (No. 123)
Inequivalent atoms, fractional coordinates:
Cs1 0.000 0.000 0.000 (multiplicity 1)
Co1 0.500 0.500 0.500 (multiplicity 1)
Se1 0.000 0.000 0.500 (multiplicity 1)
N1 0.000 0.500 0.000 (multiplicity 2)

=====

DFT (GGA-PBE) results for a geometry-optimized CsCoSe2N structure.

* crystal system: tetragonal

a b c (Å): 5.927 5.927 4.450
angles (deg): 90.00 90.00 90.00
Space group P4/mmm (No. 123)
Inequivalent atoms, fractional coordinates:
Cs1 0.000 0.000 0.000 (multiplicity 1)
Co1 0.500 0.500 0.500 (multiplicity 1)
Se1 0.000 0.500 0.000 (multiplicity 2)
N1 0.000 0.000 0.500 (multiplicity 1)

=====

DFT (GGA-PBE) results for a geometry-optimized CsCoSe2N structure.

* crystal system: tetragonal

a b c (Å): 5.787 5.787 3.391
angles (deg): 90.00 90.00 90.00
Space group P4/mmm (No. 123)
Inequivalent atoms, fractional coordinates:
Cs1 0.000 0.000 0.000 (multiplicity 1)
Co1 0.500 0.500 0.500 (multiplicity 1)
Se1 0.000 0.500 0.500 (multiplicity 2)
N1 0.500 0.500 0.000 (multiplicity 1)

=====

DFT (GGA-PBE) results for a geometry-optimized CsCoTcN2 structure.

* crystal system: tetragonal

a b c (Å): 3.874 3.874 6.648
angles (deg): 90.00 90.00 90.00
Space group P4/mmm (No. 123)
Inequivalent atoms, fractional coordinates:
Cs1 0.000 0.000 0.000 (multiplicity 1)
Co1 0.500 0.500 0.000 (multiplicity 1)
Tc1 0.000 0.000 0.500 (multiplicity 1)
N1 0.000 0.500 0.500 (multiplicity 2)

=====

DFT (GGA-PBE) results for a geometry-optimized CsCoTe2N structure.

* crystal system: tetragonal

a b c (Å): 6.501 6.501 4.187
angles (deg): 90.00 90.00 90.00
Space group P4/mmm (No. 123)
Inequivalent atoms, fractional coordinates:
Cs1 0.000 0.000 0.000 (multiplicity 1)
Co1 0.500 0.500 0.500 (multiplicity 1)
Te1 0.000 0.500 0.000 (multiplicity 2)
N1 0.000 0.000 0.500 (multiplicity 1)

=====

DFT (GGA-PBE) results for a geometry-optimized CsCoTeN2 structure.

* crystal system: tetragonal

a b c (Å): 4.352 4.352 7.832
angles (deg): 90.00 90.00 90.00
Space group P4/mmm (No. 123)
Inequivalent atoms, fractional coordinates:
Cs1 0.000 0.000 0.000 (multiplicity 1)
Co1 0.500 0.500 0.500 (multiplicity 1)
Te1 0.000 0.000 0.500 (multiplicity 1)
N1 0.000 0.500 0.000 (multiplicity 2)

=====

DFT (GGA-PBE) results for a geometry-optimized CsCoTe2N structure.

* crystal system: tetragonal

a b c (Å): 6.180 6.180 3.427
angles (deg): 90.00 90.00 90.00
Space group P4/mmm (No. 123)
Inequivalent atoms, fractional coordinates:
Cs1 0.000 0.000 0.000 (multiplicity 1)
Co1 0.500 0.500 0.500 (multiplicity 1)
Te1 0.000 0.500 0.500 (multiplicity 2)
N1 0.500 0.500 0.000 (multiplicity 1)

=====

DFT (GGA-PBE) results for a geometry-optimized CsNaCo2 structure.

* crystal system: tetragonal
* formation enthalpy at 0 K: 1.3893 eV/atom

a b c (Å): 4.399 4.399 22.061
angles (deg): 90.00 90.00 90.00
Space group I-42d (No. 122)
Inequivalent atoms, fractional coordinates:
Cs1 0.000 0.000 0.000 (multiplicity 4)
Na1 0.000 0.000 0.500 (multiplicity 4)
Co1 0.114 0.250 0.125 (multiplicity 8)

=====

DFT (GGA-PBE) results for a geometry-optimized CsNa3Co structure.

* crystal system: cubic
* formation enthalpy at 0 K: 0.6079 eV/atom

a b c (Å): 5.943 5.943 5.943
angles (deg): 90.00 90.00 90.00
Space group Pm-3m (No. 221)
Inequivalent atoms, fractional coordinates:
Cs1 0.000 0.000 0.000 (multiplicity 1)
Na1 0.000 0.500 0.500 (multiplicity 3)
Co1 0.500 0.500 0.500 (multiplicity 1)

=====

How do the records compare in energy? In the order shown, they have -0.57232 -0.18874 -0.31539 -0.21583 -0.17854 -0.32318 -0.40296 -0.16754 -0.21754 -0.31739 -0.19894 -0.13049 Ry per atom.